Record 1
Below is Tb7Co2Pt2 after structural relaxation, with properties calculated at the PBE-GGA level.

Computed properties:
Crystal system = orthorhombic
VASP energy = -63.2 eV for the cell shown
Fermi-level density of states = 8.253 states/eV/cell
SG = No. 65

abc: 6.545 6.740 6.545
angles: 90.00 109.15 90.00
Positions (direct):
Pt: 0.187 0.500 0.187
Tb: 0.000 0.742 0.500
Tb: 0.000 0.000 0.000
Tb: 0.000 0.258 0.500
Pt: 0.813 0.500 0.813
Tb: 0.500 0.258 0.000
Tb: 0.500 0.749 0.500
Co: 0.709 0.000 0.291
Tb: 0.500 0.742 0.000
Tb: 0.500 0.251 0.500
Co: 0.291 0.000 0.709

---

Record 2
Below is Be2CuTc after structural relaxation, with properties calculated at the PBE-GGA level.

Computed properties:
Crystal system = tetragonal
VASP energy = -41.2 eV for the cell shown
E above lowest polymorph = 0.480 eV/atom
Fermi-level density of states = 5.904 states/eV/cell
SG = No. 122

abc: 5.991 5.991 4.930
angles: 52.58 52.58 90.00
Positions (direct):
Be: 0.875 0.856 0.750
Tc: 0.750 0.250 0.500
Be: 0.375 0.394 0.750
Tc: 0.000 0.000 0.000
Cu: 0.250 0.750 0.500
Be: 0.144 0.625 0.250
Cu: 0.500 0.500 0.000
Be: 0.606 0.125 0.250

---

Record 3
Below is ZrTi2Co after structural relaxation, with properties calculated at the PBE-GGA level.

Computed properties:
Crystal system = orthorhombic
VASP energy = -128.7 eV for the cell shown
E above lowest polymorph = 0.036 eV/atom
Fermi-level density of states = 19.882 states/eV/cell
SG = No. 62

abc: 5.445 7.731 6.452
angles: 90.00 90.00 90.00
Positions (direct):
Co: 0.358 0.905 0.250
Zr: 0.594 0.527 0.250
Co: 0.642 0.095 0.750
Ti: 0.393 0.177 0.041
Zr: 0.906 0.027 0.250
Ti: 0.393 0.177 0.459
Ti: 0.607 0.823 0.541
Ti: 0.107 0.677 0.459
Zr: 0.094 0.973 0.750
Ti: 0.107 0.677 0.041
Zr: 0.406 0.473 0.750
Co: 0.142 0.405 0.250
Ti: 0.893 0.323 0.541
Ti: 0.893 0.323 0.959
Co: 0.858 0.595 0.750
Ti: 0.607 0.823 0.959

---

Record 4
Below is Al2TlSe after structural relaxation, with properties calculated at the PBE-GGA level.

Computed properties:
Crystal system = cubic
VASP energy = -12.2 eV for the cell shown
E above lowest polymorph = 0.404 eV/atom
Fermi-level density of states = 3.582 states/eV/cell
Formation energy without anion corrections = 1.132 eV per formula unit
SG = No. 216

abc: 5.092 5.092 5.092
angles: 60.00 60.00 60.00
Positions (direct):
Se: 0.500 0.500 0.500
Tl: 0.750 0.750 0.750
Al: 0.000 0.000 0.000
Al: 0.250 0.250 0.250

---

Record 5
Below is Mg2ScIn after structural relaxation, with properties calculated at the PBE-GGA level.

Computed properties:
Crystal system = trigonal
VASP energy = -12.4 eV for the cell shown
Fermi-level density of states = 3.483 states/eV/cell
SG = No. 166

abc: 10.661 10.661 10.661
angles: 17.52 17.52 17.52
Positions (direct):
Sc: 0.750 0.750 0.750
Mg: 0.501 0.501 0.501
In: 0.250 0.250 0.250
Mg: 0.999 0.999 0.999

---

Record 6
Below is RbFe3Ni after structural relaxation, with properties calculated at the PBE-GGA level.

Computed properties:
Crystal system = cubic
VASP energy = -18.2 eV for the cell shown
E above lowest polymorph = 1.676 eV/atom
Fermi-level density of states = 11.424 states/eV/cell
SG = No. 221

abc: 4.559 4.559 4.559
angles: 90.00 90.00 90.00
Positions (direct):
Rb: 0.000 0.000 0.000
Fe: 0.500 0.000 0.000
Fe: 0.000 0.500 0.000
Fe: 0.000 0.000 0.500
Ni: 0.500 0.500 0.500

---

Record 7
Below is Ba2LiCd6Ni after structural relaxation, with properties calculated at the PBE-GGA level.

Computed properties:
Crystal system = tetragonal
VASP energy = -18.7 eV for the cell shown
Fermi-level density of states = 5.748 states/eV/cell
SG = No. 139

abc: 7.337 7.337 7.328
angles: 59.98 59.98 90.03
Positions (direct):
Cd: 0.253 0.253 0.000
Li: 0.000 0.000 0.000
Ba: 0.250 0.750 0.500
Ni: 0.500 0.500 0.000
Cd: 0.747 0.747 0.000
Ba: 0.750 0.250 0.500
Cd: 0.747 0.253 0.000
Cd: 0.747 0.747 0.505
Cd: 0.253 0.253 0.495
Cd: 0.253 0.747 0.000

---

Record 8
Below is Sc2GeC after structural relaxation, with properties calculated at the PBE-GGA level.

Computed properties:
Crystal system = trigonal
VASP energy = -27.6 eV for the cell shown
Fermi-level density of states = 4.316 states/eV/cell
SG = No. 166

abc: 8.219 8.219 8.219
angles: 23.40 23.40 23.40
Positions (direct):
Sc: 0.883 0.883 0.883
Sc: 0.117 0.117 0.117
Ge: 0.000 0.000 0.000
C: 0.500 0.500 0.500

---

Record 9
Below is VSn2I6 after structural relaxation, with properties calculated at the PBE-GGA level.

Computed properties:
Crystal system = triclinic
VASP energy = -30.7 eV for the cell shown
Formation energy without anion corrections = -4.250 eV per formula unit
SG = No. 2

abc: 4.351 8.849 10.757
angles: 106.32 89.93 104.30
Positions (direct):
I: 0.301 0.601 0.848
Sn: 0.337 0.675 0.168
I: 0.982 0.961 0.228
I: 0.384 0.769 0.473
Sn: 0.662 0.325 0.832
I: 0.616 0.231 0.527
I: 0.018 0.039 0.772
I: 0.699 0.399 0.152
V: 0.000 0.000 0.500

---

Record 10
Below is Tb3Nd4Dy4 after structural relaxation, with properties calculated at the PBE-GGA level.

Computed properties:
Crystal system = orthorhombic
VASP energy = -49.7 eV for the cell shown
E above lowest polymorph = 0.025 eV/atom
Fermi-level density of states = 17.657 states/eV/cell
SG = No. 38

abc: 5.712 6.688 10.687
angles: 90.00 90.00 115.28
Positions (direct):
Tb: 0.410 0.820 0.710
Dy: 0.611 0.222 0.500
Dy: 0.552 0.104 0.000
Nd: 0.755 0.510 0.792
Tb: 0.254 0.508 0.000
Nd: 0.961 0.921 0.000
Nd: 0.883 0.766 0.500
Dy: 0.104 0.207 0.302
Dy: 0.104 0.207 0.698
Tb: 0.410 0.820 0.290
Nd: 0.755 0.510 0.208

---

Record 11
Below is Ga2CuTeRh after structural relaxation, with properties calculated at the PBE-GGA level.

Computed properties:
Crystal system = tetragonal
VASP energy = -20.0 eV for the cell shown
Fermi-level density of states = 2.192 states/eV/cell
Formation energy without anion corrections = 0.647 eV per formula unit
SG = No. 123

abc: 4.724 4.970 4.724
angles: 90.00 90.00 90.00
Positions (direct):
Cu: 0.000 0.500 0.000
Ga: 0.500 0.000 0.000
Ga: 0.000 0.000 0.500
Rh: 0.000 0.000 0.000
Te: 0.500 0.500 0.500

---

Record 12
Below is Tl2Ag2Ge after structural relaxation, with properties calculated at the PBE-GGA level.

Computed properties:
Crystal system = tetragonal
VASP energy = -12.9 eV for the cell shown
E above lowest polymorph = 0.236 eV/atom
Fermi-level density of states = 3.153 states/eV/cell
SG = No. 139

abc: 4.293 4.293 7.512
angles: 73.40 73.40 90.00
Positions (direct):
Tl: 0.250 0.750 0.500
Ag: 0.596 0.596 0.808
Ag: 0.404 0.404 0.192
Ge: 0.000 0.000 0.000
Tl: 0.750 0.250 0.500